A geometry-optimized TbEr4Pd2 structure, computed with PBE. Values from VASP.

Computed properties:
Total magnetization ... 0.000 μB/f.u.
Relative energy among the computed polymorphs ... 82 meV per atom
Total DFT energy (no corrections) ... -5.123 eV/atom
Space-group type ... No. 166

```
&SYSTEM
  ibrav = 0, nat = 7, ntyp = 3
/
ATOMIC_SPECIES
Er 167.26 Er.upf
Pd 106.42 Pd.upf
Tb 158.93 Tb.upf
CELL_PARAMETERS angstrom
3.8340 0.0000 0.0000
1.9170 3.3204 0.0000
1.9170 1.1068 15.4779
ATOMIC_POSITIONS crystal
Er 0.6979 0.6979 0.9064
Pd 0.4017 0.4017 0.7949
Er 0.1056 0.1056 0.6833
Tb 0.5000 0.5000 0.5000
Er 0.8944 0.8944 0.3167
Pd 0.5983 0.5983 0.2051
Er 0.3021 0.3021 0.0936
```